V3Cu2SbP6O24 | Alexandria | PBE+U | relaxed; total magnetization = 0.11 μB/atom; space-group type = No. 146; total DFT energy (no corrections) = -7.08 eV per atom
1.0
8.6673 -0.0144 -0.0102
4.3790 7.4798 -0.0102
4.3790 2.5058 7.0476
V Cu Sb P O
3 2 1 6 24
Direct
0.3573 0.3573 0.3573 V
0.1425 0.1425 0.1425 V
0.6411 0.6411 0.6411 V
0.0048 0.0048 0.0048 Cu
0.4991 0.4991 0.4991 Cu
0.8574 0.8574 0.8574 Sb
0.0426 0.4560 0.7472 P
0.4560 0.7472 0.0426 P
0.7472 0.0426 0.4560 P
0.2524 0.9584 0.5376 P
0.5376 0.2524 0.9584 P
0.9584 0.5376 0.2524 P
0.4988 0.6944 0.8792 O
0.6944 0.8792 0.4988 O
0.8792 0.4988 0.6944 O
0.0594 0.2678 0.9160 O
0.0132 0.6184 0.8025 O
0.2338 0.4410 0.5827 O
0.2678 0.9160 0.0594 O
0.4410 0.5827 0.2338 O
0.1910 0.9942 0.3825 O
0.5827 0.2338 0.4410 O
0.0818 0.9437 0.7351 O
0.3825 0.1910 0.9942 O
0.6184 0.8025 0.0132 O
0.9160 0.0594 0.2678 O
0.4126 0.7638 0.5630 O
0.8025 0.0132 0.6184 O
0.5630 0.4126 0.7638 O
0.7351 0.0818 0.9437 O
0.7638 0.5630 0.4126 O
0.9942 0.3825 0.1910 O
0.9437 0.7351 0.0818 O
0.1179 0.5059 0.3047 O
0.3047 0.1179 0.5059 O
0.5059 0.3047 0.1179 O